*one*
A plane-wave DFT calculation with PBE was carried out for a relaxed structure of NdDyHo6.

```
data_NdDyHo6
_cell_length_a 6.4304
_cell_length_b 6.4304
_cell_length_c 6.4304
_cell_angle_alpha 96.57
_cell_angle_beta 96.57
_cell_angle_gamma 96.57
_space_group_name_H-M_alt 'P 1'
_space_group_IT_number 1
loop_
_space_group_symop_operation_xyz
'x,y,z'
loop_
_atom_site_label
_atom_site_fract_x
_atom_site_fract_y
_atom_site_fract_z
_atom_site_occupancy
Nd1 0.0000 0.0000 0.0000 1
Dy1 0.5000 0.5000 0.5000 1
Ho1 0.0456 0.4537 0.7480 1
Ho2 0.2520 0.9544 0.5463 1
Ho3 0.4537 0.7480 0.0456 1
Ho4 0.5463 0.2520 0.9544 1
Ho5 0.7480 0.0456 0.4537 1
Ho6 0.9544 0.5463 0.2520 1
```

- DOS(E_F) (states/eV per cell) = 12.636
- SG = R-3, No. 148

*two*
A plane-wave DFT calculation with PBE was carried out for a relaxed structure of NdDyHo6.

```
data_NdDyHo6
_cell_length_a 6.5193
_cell_length_b 6.6954
_cell_length_c 6.9685
_cell_angle_alpha 61.78
_cell_angle_beta 74.84
_cell_angle_gamma 89.98
_space_group_name_H-M_alt 'P 1'
_space_group_IT_number 1
loop_
_space_group_symop_operation_xyz
'x,y,z'
loop_
_atom_site_label
_atom_site_fract_x
_atom_site_fract_y
_atom_site_fract_z
_atom_site_occupancy
Nd1 0.0000 0.0000 0.0000 1
Dy1 0.5000 0.0000 0.0000 1
Ho1 0.2313 0.5742 0.5196 1
Ho2 0.2523 0.5417 0.9986 1
Ho3 0.2719 0.0957 0.4724 1
Ho4 0.7281 0.9043 0.5276 1
Ho5 0.7477 0.4583 0.0014 1
Ho6 0.7687 0.4258 0.4804 1
```

- DOS(E_F) (states/eV per cell) = 13.317
- SG = P-1, No. 2

Least stable: *two*

*one*
A plane-wave DFT calculation with PBE was carried out for a relaxed structure of Nd2DyHo9.

```
data_Nd2DyHo9
_cell_length_a 11.2350
_cell_length_b 11.2350
_cell_length_c 3.4901
_cell_angle_alpha 90.00
_cell_angle_beta 90.00
_cell_angle_gamma 120.00
_space_group_name_H-M_alt 'P 1'
_space_group_IT_number 1
loop_
_space_group_symop_operation_xyz
'x,y,z'
loop_
_atom_site_label
_atom_site_fract_x
_atom_site_fract_y
_atom_site_fract_z
_atom_site_occupancy
Nd1 0.3333 0.6667 0.0000 1
Nd2 0.6667 0.3333 0.0000 1
Dy1 0.0000 0.0000 0.0000 1
Ho1 0.0000 0.5000 0.0000 1
Ho2 0.1738 0.3476 0.5000 1
Ho3 0.1738 0.8262 0.5000 1
Ho4 0.3476 0.1738 0.5000 1
Ho5 0.5000 0.0000 0.0000 1
Ho6 0.5000 0.5000 0.0000 1
Ho7 0.6524 0.8262 0.5000 1
Ho8 0.8262 0.1738 0.5000 1
Ho9 0.8262 0.6524 0.5000 1
```

- DOS(E_F) (states/eV per cell) = 19.768
- SG = P6/mmm, No. 191

*two*
A plane-wave DFT calculation with PBE was carried out for a relaxed structure of Nd2DyHo9.

```
data_Nd2DyHo9
_cell_length_a 5.0217
_cell_length_b 5.0217
_cell_length_c 15.0628
_cell_angle_alpha 90.00
_cell_angle_beta 90.00
_cell_angle_gamma 90.00
_space_group_name_H-M_alt 'P 1'
_space_group_IT_number 1
loop_
_space_group_symop_operation_xyz
'x,y,z'
loop_
_atom_site_label
_atom_site_fract_x
_atom_site_fract_y
_atom_site_fract_z
_atom_site_occupancy
Nd1 0.0000 0.0000 0.1673 1
Nd2 0.0000 0.0000 0.8327 1
Dy1 0.0000 0.0000 0.5000 1
Ho1 0.0000 0.5000 0.0000 1
Ho2 0.0000 0.5000 0.3353 1
Ho3 0.0000 0.5000 0.6647 1
Ho4 0.5000 0.0000 0.0000 1
Ho5 0.5000 0.0000 0.3353 1
Ho6 0.5000 0.0000 0.6647 1
Ho7 0.5000 0.5000 0.1680 1
Ho8 0.5000 0.5000 0.5000 1
Ho9 0.5000 0.5000 0.8320 1
```

- DOS(E_F) (states/eV per cell) = 17.009
- SG = P4/mmm, No. 123

Least stable: *one*

*one*
A plane-wave DFT calculation with PBE was carried out for a relaxed structure of NdDy4Ho5.

```
data_NdDy4Ho5
_cell_length_a 3.5506
_cell_length_b 6.6660
_cell_length_c 14.0983
_cell_angle_alpha 98.67
_cell_angle_beta 93.10
_cell_angle_gamma 103.91
_space_group_name_H-M_alt 'P 1'
_space_group_IT_number 1
loop_
_space_group_symop_operation_xyz
'x,y,z'
loop_
_atom_site_label
_atom_site_fract_x
_atom_site_fract_y
_atom_site_fract_z
_atom_site_occupancy
Nd1 0.0000 0.0000 0.0000 1
Dy1 0.1169 0.8090 0.2171 1
Dy2 0.1942 0.7274 0.8041 1
Dy3 0.8058 0.2726 0.1959 1
Dy4 0.8831 0.1910 0.7829 1
Ho1 0.2040 0.8808 0.5837 1
Ho2 0.4906 0.4263 0.6134 1
Ho3 0.5000 0.5000 0.0000 1
Ho4 0.5094 0.5737 0.3866 1
Ho5 0.7960 0.1192 0.4163 1
```

- DOS(E_F) (states/eV per cell) = 16.075
- SG = P-1, No. 2

*two*
A plane-wave DFT calculation with PBE was carried out for a relaxed structure of NdDy4Ho5.

```
data_NdDy4Ho5
_cell_length_a 7.8548
_cell_length_b 7.8548
_cell_length_c 7.8548
_cell_angle_alpha 99.16
_cell_angle_beta 99.16
_cell_angle_gamma 132.97
_space_group_name_H-M_alt 'P 1'
_space_group_IT_number 1
loop_
_space_group_symop_operation_xyz
'x,y,z'
loop_
_atom_site_label
_atom_site_fract_x
_atom_site_fract_y
_atom_site_fract_z
_atom_site_occupancy
Nd1 0.0000 0.0000 0.0000 1
Dy1 0.1177 0.8181 0.3988 1
Dy2 0.4193 0.7189 0.6012 1
Dy3 0.7189 0.1177 0.2996 1
Dy4 0.8181 0.4193 0.7004 1
Ho1 0.0396 0.1269 0.6212 1
Ho2 0.1269 0.5058 0.0874 1
Ho3 0.4184 0.0396 0.9126 1
Ho4 0.5058 0.4184 0.3788 1
Ho5 0.5425 0.5425 0.0000 1
```

- DOS(E_F) (states/eV per cell) = 14.435
- SG = I4, No. 79

Least stable: *two*